VASP calculation (meta-GGA SCAN) on a crystal of Sm2B4O9 relaxed with PBEsol.

Results
Magnetization: 0.000 μB/f.u.
Energy relative to the elements, uncorrected: -47.11 eV per formula unit
Electronic total energy: -14.7865 eV per atom
Fermi-level density of states: 0.00 states/eV/cell

Structure (CIF):
```
data_Sm2B4O9
_cell_length_a 6.2041
_cell_length_b 6.4883
_cell_length_c 7.5460
_cell_angle_alpha 102.29
_cell_angle_beta 97.06
_cell_angle_gamma 102.63
_space_group_name_H-M_alt 'P -1'
_space_group_IT_number 2
loop_
_space_group_symop_operation_xyz
'x,y,z'
'-x,-y,-z'
loop_
_atom_site_label
_atom_site_fract_x
_atom_site_fract_y
_atom_site_fract_z
Sm1 0.0476 0.0929 0.2846
Sm2 0.3866 0.6767 0.3581
B1 0.1257 0.3563 0.6528
B2 0.1615 0.6791 0.9259
B3 0.2299 0.3343 0.9807
B4 0.4946 0.1484 0.1878
O1 0.0052 0.7861 0.0183
O2 0.0398 0.5361 0.7487
O3 0.0780 0.8164 0.4420
O4 0.2617 0.2640 0.7902
O5 0.2736 0.5694 0.0383
O6 0.2781 0.4068 0.5254
O7 0.3134 0.8653 0.8813
O8 0.3601 0.2823 0.1402
O9 0.4337 0.0488 0.3234
```

VASP calculation (meta-GGA SCAN) on a crystal of SmB3O6 relaxed with PBEsol.

Results
Magnetization: 0.000 μB/f.u.
Energy relative to the elements, uncorrected: -30.10 eV per formula unit
Electronic total energy: -13.4219 eV per atom
Fermi-level density of states: 0.00 states/eV/cell

Structure (CIF):
```
data_SmB3O6
_cell_length_a 9.6658
_cell_length_b 8.0258
_cell_length_c 6.2431
_cell_angle_alpha 90.00
_cell_angle_beta 125.93
_cell_angle_gamma 90.00
_space_group_name_H-M_alt 'C 1 2/c 1'
_space_group_IT_number 15
loop_
_space_group_symop_operation_xyz
'x,y,z'
'-x,-y,-z'
'-x,y,-z+1/2'
'x,-y,z+1/2'
'x+1/2,y+1/2,z'
'-x+1/2,-y+1/2,-z'
'-x+1/2,y+1/2,-z+1/2'
'x+1/2,-y+1/2,z+1/2'
loop_
_atom_site_label
_atom_site_fract_x
_atom_site_fract_y
_atom_site_fract_z
Sm1 0.0000 0.1981 0.2500
B1 0.0000 0.2192 0.7500
B2 0.2242 0.4356 0.0873
O1 0.1017 0.3115 0.9957
O2 0.1050 0.1083 0.7074
O3 0.1990 0.4076 0.5017
```

VASP calculation (meta-GGA SCAN) on a crystal of Sm3BWO9 relaxed with PBEsol.

Results
Magnetization: 0.001 μB/f.u.
Energy relative to the elements, uncorrected: -46.39 eV per formula unit
Electronic total energy: -22.3514 eV per atom
Fermi-level density of states: 0.00 states/eV/cell

Structure (CIF):
```
data_Sm3BWO9
_cell_length_a 8.5657
_cell_length_b 8.5657
_cell_length_c 5.4234
_cell_angle_alpha 90.00
_cell_angle_beta 90.00
_cell_angle_gamma 120.00
_space_group_name_H-M_alt 'P 63'
_space_group_IT_number 173
loop_
_space_group_symop_operation_xyz
'x,y,z'
'x-y,x,z+1/2'
'-y,x-y,z'
'-x,-y,z+1/2'
'-x+y,-x,z'
'y,-x+y,z+1/2'
loop_
_atom_site_label
_atom_site_fract_x
_atom_site_fract_y
_atom_site_fract_z
Sm1 0.0845 0.7259 0.0000
B1 0.0000 0.0000 0.1585
W1 0.3333 0.6667 0.5431
O1 0.0494 0.8697 0.6494
O2 0.1358 0.5147 0.7734
O3 0.1968 0.4683 0.3350
```

VASP calculation (meta-GGA SCAN) on a crystal of SnBO3 relaxed with PBEsol.

Results
Magnetization: 0.000 μB/f.u.
Energy relative to the elements, uncorrected: -9.91 eV per formula unit
Electronic total energy: -14.3908 eV per atom
Fermi-level density of states: 0.00 states/eV/cell

Structure (CIF):
```
data_SnBO3
_cell_length_a 5.1827
_cell_length_b 8.8307
_cell_length_c 12.6978
_cell_angle_alpha 90.00
_cell_angle_beta 99.01
_cell_angle_gamma 90.00
_space_group_name_H-M_alt 'C 1 c 1'
_space_group_IT_number 9
loop_
_space_group_symop_operation_xyz
'x,y,z'
'x,-y,z+1/2'
'x+1/2,y+1/2,z'
'x+1/2,-y+1/2,z+1/2'
loop_
_atom_site_label
_atom_site_fract_x
_atom_site_fract_y
_atom_site_fract_z
Sn1 0.0000 0.0322 0.0000
Sn2 0.1479 0.3783 0.7455
B1 0.0987 0.0456 0.7485
B2 0.4902 0.1325 0.4993
O1 0.2437 0.3621 0.9786
O2 0.2765 0.1553 0.7445
O3 0.3437 0.2626 0.4905
O4 0.3844 0.0035 0.0253
O5 0.4740 0.4608 0.6614
O6 0.4878 0.4985 0.3373
```

VASP calculation (meta-GGA SCAN) on a crystal of SnB2O relaxed with PBEsol.

Results
Magnetization: 0.001 μB/f.u.
Energy relative to the elements, uncorrected: 7.11 eV per formula unit
Electronic total energy: -12.4751 eV per atom
Fermi-level density of states: 8.36 states/eV/cell

Structure (CIF):
```
data_SnB2O
_cell_length_a 5.6949
_cell_length_b 5.6949
_cell_length_c 5.6949
_cell_angle_alpha 90.00
_cell_angle_beta 90.00
_cell_angle_gamma 90.00
_space_group_name_H-M_alt 'F m -3 m'
_space_group_IT_number 225
_space_group_name_Hall '-F 4 2 3'
loop_
_atom_site_label
_atom_site_fract_x
_atom_site_fract_y
_atom_site_fract_z
Sn1 0.0000 0.0000 0.0000
B1 0.2500 0.2500 0.2500
O1 0.0000 0.0000 0.5000
```

VASP calculation (meta-GGA SCAN) on a crystal of SrSnB2O6 relaxed with PBEsol.

Results
Magnetization: 0.000 μB/f.u.
Energy relative to the elements, uncorrected: -26.30 eV per formula unit
Electronic total energy: -13.6742 eV per atom
Fermi-level density of states: 0.00 states/eV/cell

Structure (CIF):
```
data_SrSnB2O6
_cell_length_a 4.9550
_cell_length_b 4.9550
_cell_length_c 16.8079
_cell_angle_alpha 90.00
_cell_angle_beta 90.00
_cell_angle_gamma 120.00
_space_group_name_H-M_alt 'R -3'
_space_group_IT_number 148
_space_group_name_Hall '-R 3'
loop_
_atom_site_label
_atom_site_fract_x
_atom_site_fract_y
_atom_site_fract_z
Sr1 0.0000 0.0000 0.0000
Sn1 0.0000 0.0000 0.5000
B1 0.0000 0.0000 0.2351
O1 0.0361 0.4112 0.9054
```

VASP calculation (meta-GGA SCAN) on a crystal of SrB2O4 relaxed with PBEsol.

Results
Magnetization: 0.000 μB/f.u.
Excess energy over the best structure of this formula in the dataset: 9.2 meV per atom
Energy relative to the elements, uncorrected: -20.65 eV per formula unit
Electronic total energy: -11.8155 eV per atom
Fermi-level density of states: 0.00 states/eV/cell

Structure (CIF):
```
data_SrB2O4
_cell_length_a 11.9916
_cell_length_b 4.3470
_cell_length_c 6.5559
_cell_angle_alpha 90.00
_cell_angle_beta 90.00
_cell_angle_gamma 90.00
_space_group_name_H-M_alt 'P b c n'
_space_group_IT_number 60
loop_
_space_group_symop_operation_xyz
'x,y,z'
'-x,-y,-z'
'-x+1/2,-y+1/2,z+1/2'
'x+1/2,y+1/2,-z+1/2'
'x+1/2,-y+1/2,-z'
'-x+1/2,y+1/2,z'
'-x,y,-z+1/2'
'x,-y,z+1/2'
loop_
_atom_site_label
_atom_site_fract_x
_atom_site_fract_y
_atom_site_fract_z
Sr1 0.0000 0.2376 0.2500
B1 0.1939 0.3309 0.6267
O1 0.0897 0.2358 0.5944
O2 0.2106 0.3493 0.1480
```

VASP calculation (meta-GGA SCAN) on a crystal of SrB4O7 relaxed with PBEsol.

Results
Magnetization: 0.000 μB/f.u.
Energy relative to the elements, uncorrected: -34.07 eV per formula unit
Electronic total energy: -10.8065 eV per atom
Fermi-level density of states: 0.00 states/eV/cell

Structure (CIF):
```
data_SrB4O7
_cell_length_a 17.1372
_cell_length_b 17.1372
_cell_length_c 4.2635
_cell_angle_alpha 90.00
_cell_angle_beta 90.00
_cell_angle_gamma 120.00
_space_group_name_H-M_alt 'P 3'
_space_group_IT_number 143
loop_
_space_group_symop_operation_xyz
'x,y,z'
'-y,x-y,z'
'-x+y,-x,z'
loop_
_atom_site_label
_atom_site_fract_x
_atom_site_fract_y
_atom_site_fract_z
Sr1 0.0000 0.0000 0.0000
Sr2 0.0021 0.3269 0.1950
Sr3 0.3333 0.6667 0.1050
Sr4 0.3435 0.3418 0.0113
Sr5 0.6667 0.3333 0.2249
B1 0.0376 0.2002 0.7641
B2 0.0383 0.8606 0.4310
B3 0.1342 0.6196 0.3839
B4 0.1521 0.5147 0.7092
B5 0.1654 0.8296 0.5263
B6 0.2092 0.7707 0.0232
B7 0.2253 0.1077 0.1570
B8 0.3270 0.1691 0.6713
B9 0.4707 0.3008 0.4731
B10 0.4819 0.1938 0.8092
B11 0.4916 0.0053 0.5988
B12 0.5492 0.1080 0.1136
O1 0.0453 0.5792 0.4606
O2 0.0609 0.4571 0.7098
O3 0.0651 0.1426 0.6367
O4 0.0741 0.8060 0.3938
O5 0.0763 0.2875 0.6621
O6 0.1454 0.1124 0.2699
O7 0.1491 0.7657 0.7725
O8 0.1660 0.3908 0.2743
O9 0.1675 0.6773 0.1422
O10 0.1883 0.0155 0.0213
O11 0.1912 0.5929 0.5217
O12 0.2129 0.5100 0.8982
O13 0.2723 0.1756 0.9192
O14 0.2794 0.1070 0.4204
O15 0.3813 0.2640 0.5469
O16 0.3905 0.1400 0.8111
O17 0.4831 0.0614 0.3602
O18 0.5041 0.4518 0.8587
O19 0.5075 0.3573 0.2310
O20 0.5239 0.2707 0.6180
O21 0.5407 0.1853 0.9986
```